(1)
Below is crystalline AlCrGaAg at its relaxed geometry, with properties calculated at the PBE level.

Cell and atoms, written as CIF:
```
data_AlCrGaAg
_chemical_formula_sum 'Al4 Cr4 Ga4 Ag4'
_symmetry_space_group_name_H-M 'F -4 3 m'
_symmetry_Int_Tables_number 216
_symmetry_space_group_name_Hall 'F -4 2 3'
_cell_length_a 6.3384
_cell_length_b 6.3384
_cell_length_c 6.3384
_cell_angle_alpha 90.00
_cell_angle_beta 90.00
_cell_angle_gamma 90.00
loop_
_atom_site_label
_atom_site_type_symbol
_atom_site_fract_x
_atom_site_fract_y
_atom_site_fract_z
Al1 Al 0.0000 0.0000 0.0000
Cr1 Cr 0.2500 0.2500 0.2500
Ga1 Ga 0.0000 0.0000 0.5000
Ag1 Ag 0.2500 0.2500 0.7500
```

total magnetization	13.48	μB/cell
calculated formation energy	0.43	eV/f.u.

***

(2)
Below is crystalline MnAlCrAg2 at its relaxed geometry, with properties calculated at the PBE level.

Cell and atoms, written as CIF:
```
data_MnAlCrAg2
_chemical_formula_sum 'Mn1 Al1 Cr1 Ag2'
_symmetry_space_group_name_H-M 'P 4/m m m'
_symmetry_Int_Tables_number 123
_symmetry_space_group_name_Hall '-P 4 2'
_cell_length_a 4.9711
_cell_length_b 4.9711
_cell_length_c 3.8957
_cell_angle_alpha 90.00
_cell_angle_beta 90.00
_cell_angle_gamma 90.00
loop_
_atom_site_label
_atom_site_type_symbol
_atom_site_fract_x
_atom_site_fract_y
_atom_site_fract_z
Mn1 Mn 0.0000 0.0000 0.0000
Al1 Al 0.5000 0.5000 0.0000
Cr1 Cr 0.0000 0.0000 0.5000
Ag1 Ag 0.0000 0.5000 0.5000
```

total magnetization	0.76	μB/cell
calculated formation energy	6.13	eV/f.u.

***

(3)
Below is crystalline NbAlCrAg2 at its relaxed geometry, with properties calculated at the PBE level.

Cell and atoms, written as CIF:
```
data_NbAlCrAg2
_chemical_formula_sum 'Nb1 Al1 Cr1 Ag2'
_symmetry_space_group_name_H-M 'P 4/m m m'
_symmetry_Int_Tables_number 123
_symmetry_space_group_name_Hall '-P 4 2'
_cell_length_a 4.6919
_cell_length_b 4.6919
_cell_length_c 4.4987
_cell_angle_alpha 90.00
_cell_angle_beta 90.00
_cell_angle_gamma 90.00
loop_
_atom_site_label
_atom_site_type_symbol
_atom_site_fract_x
_atom_site_fract_y
_atom_site_fract_z
Nb1 Nb 0.0000 0.0000 0.0000
Al1 Al 0.5000 0.5000 0.0000
Cr1 Cr 0.5000 0.5000 0.5000
Ag1 Ag 0.0000 0.5000 0.5000
```

total magnetization	0.00	μB/cell
calculated formation energy	6.87	eV/f.u.